Arrangement a

The following is a PBE-GGA calculation of Sm3Bi after structural relaxation, from the Alexandria database.

```
4
Lattice="4.946 0.000 0.000 0.000 4.949 0.000 0.000 0.000 4.950" Properties=species:S:1:pos:R:3 pbc="T T T"
Bi 0.000 2.475 2.062
Sm 0.000 0.000 4.537
Sm 2.473 0.000 2.062
Sm 2.473 2.475 4.537
```

## Properties
- total magnetic moment (μB/cell) = 0.00
- density of states at the Fermi level (states/eV per cell) = 4.1
- volume (Å³ per cell) = 121.2

***

Arrangement b

The following is a PBE-GGA calculation of Sm3Bi after structural relaxation, from the Alexandria database.

```
4
Lattice="-0.976 -1.701 -3.875 -3.108 -2.411 1.841 -3.418 8.114 -0.267" Properties=species:S:1:pos:R:3 pbc="T T T"
Bi 0.000 0.000 0.000
Sm -2.042 -2.056 -1.017
Sm -2.071 2.298 -0.487
Sm -5.431 1.703 -1.813
```

## Properties
- total magnetic moment (μB/cell) = 0.76
- density of states at the Fermi level (states/eV per cell) = 6.7
- volume (Å³ per cell) = 155.7

***

Which is most stable, and by how much? arrangement a, by 0.325 eV/atom.

***

Arrangement a

The following is a PBE-GGA calculation of SmSnBi2 after structural relaxation, from the Alexandria database.

```
4
Lattice="4.316 0.000 0.000 0.000 4.316 0.000 0.000 0.000 6.508" Properties=species:S:1:pos:R:3 pbc="T T T"
Bi 0.000 0.000 4.838
Bi 0.000 0.000 1.670
Sm 2.158 2.158 3.254
Sn 2.158 2.158 0.000
```

## Properties
- total magnetic moment (μB/cell) = 0.00
- density of states at the Fermi level (states/eV per cell) = 2.3
- volume (Å³ per cell) = 121.2

***

Arrangement b

The following is a PBE-GGA calculation of SmSnBi2 after structural relaxation, from the Alexandria database.

```
8
Lattice="-5.210 -2.124 -4.110 0.544 -5.716 -3.642 -4.630 -4.439 2.257" Properties=species:S:1:pos:R:3 pbc="T T T"
Sm -2.589 -3.004 -1.071
Sm -6.707 -9.275 -4.424
Sn -5.073 -4.096 -3.265
Sn -4.224 -8.183 -2.230
Bi -4.600 -5.572 -0.150
Bi -2.092 -5.645 -3.291
Bi -4.697 -6.707 -5.346
Bi -7.205 -6.634 -2.205
```

## Properties
- total magnetic moment (μB/cell) = 0.00
- density of states at the Fermi level (states/eV per cell) = 3.6
- volume (Å³ per cell) = 236.9

***

Which is most stable, and by how much? arrangement b, by 0.028 eV/atom.

***

Arrangement a

The following is a PBE-GGA calculation of SmSnBi2 after structural relaxation, from the Alexandria database.

```
4
Lattice="4.763 0.000 0.000 0.000 4.992 0.000 0.000 0.000 4.992" Properties=species:S:1:pos:R:3 pbc="T T T"
Bi 0.000 0.000 2.496
Bi 0.000 2.496 0.000
Sm 2.382 2.496 2.496
Sn 2.382 0.000 0.000
```

## Properties
- total magnetic moment (μB/cell) = 0.00
- density of states at the Fermi level (states/eV per cell) = 2.1
- volume (Å³ per cell) = 118.7

***

Arrangement b

The following is a PBE-GGA calculation of SmSnBi2 after structural relaxation, from the Alexandria database.

```
4
Lattice="4.862 0.000 0.000 2.431 4.211 0.000 2.431 1.404 8.824" Properties=species:S:1:pos:R:3 pbc="T T T"
Bi 2.431 1.404 5.949
Bi 7.294 4.211 2.875
Sm 4.862 2.807 4.412
Sn 0.000 0.000 0.000
```

## Properties
- total magnetic moment (μB/cell) = 0.00
- density of states at the Fermi level (states/eV per cell) = 3.8
- volume (Å³ per cell) = 180.7

***

Which is most stable, and by how much? arrangement a, by 0.554 eV/atom.

***

Arrangement a

The following is a PBE-GGA calculation of SrSmBi2 after structural relaxation, from the Alexandria database.

```
4
Lattice="-1.072 1.411 -4.201 -4.311 -0.263 -1.462 -3.224 7.852 0.985" Properties=species:S:1:pos:R:3 pbc="T T T"
Sr -4.303 4.500 -2.339
Bi -2.125 2.111 -1.223
Bi -6.481 6.889 -3.456
Sm 0.000 0.000 0.000
```

## Properties
- total magnetic moment (μB/cell) = 0.00
- density of states at the Fermi level (states/eV per cell) = 2.4
- volume (Å³ per cell) = 146.4

***

Arrangement b

The following is a PBE-GGA calculation of SrSmBi2 after structural relaxation, from the Alexandria database.

```
4
Lattice="4.217 0.000 0.000 0.000 4.217 0.000 0.000 0.000 7.426" Properties=species:S:1:pos:R:3 pbc="T T T"
Sr 2.109 2.109 3.713
Bi 0.000 0.000 5.719
Bi 0.000 0.000 1.707
Sm 2.109 2.109 0.000
```

## Properties
- total magnetic moment (μB/cell) = 0.00
- density of states at the Fermi level (states/eV per cell) = 2.7
- volume (Å³ per cell) = 132.1

***

Which is most stable, and by how much? arrangement a, by 0.073 eV/atom.

***

Arrangement a

The following is a PBE-GGA calculation of SrSmBi2 after structural relaxation, from the Alexandria database.

```
4
Lattice="3.546 0.000 0.000 0.000 6.063 0.000 0.000 0.000 6.063" Properties=species:S:1:pos:R:3 pbc="T T T"
Sr 1.773 0.000 0.000
Bi 0.000 0.000 3.031
Bi 0.000 3.031 0.000
Sm 1.773 3.031 3.031
```

## Properties
- total magnetic moment (μB/cell) = 0.12
- density of states at the Fermi level (states/eV per cell) = 2.1
- volume (Å³ per cell) = 130.4

***

Arrangement b

The following is a PBE-GGA calculation of SrSmBi2 after structural relaxation, from the Alexandria database.

```
4
Lattice="4.823 0.000 0.000 2.411 4.177 0.000 2.411 1.392 7.558" Properties=species:S:1:pos:R:3 pbc="T T T"
Sr 7.234 4.177 7.492
Sm 4.823 2.784 3.858
Bi 2.411 1.392 5.502
Bi 2.411 1.392 2.044
```

## Properties
- total magnetic moment (μB/cell) = 0.00
- density of states at the Fermi level (states/eV per cell) = 4.0
- volume (Å³ per cell) = 152.3

***

Arrangement c

The following is a PBE-GGA calculation of SrSmBi2 after structural relaxation, from the Alexandria database.

```
4
Lattice="5.724 0.000 0.000 2.862 4.957 0.000 2.862 1.652 4.673" Properties=species:S:1:pos:R:3 pbc="T T T"
Sr 5.724 3.304 2.337
Bi 2.862 1.652 1.168
Bi 8.585 4.957 3.505
Sm 0.000 0.000 0.000
```

## Properties
- total magnetic moment (μB/cell) = 0.00
- density of states at the Fermi level (states/eV per cell) = 1.7
- volume (Å³ per cell) = 132.6

***

Which is most stable, and by how much? arrangement a, by 0.012 eV/atom.

***

Arrangement a

The following is a PBE-GGA calculation of TbSm2Bi after structural relaxation, from the Alexandria database.

```
4
Lattice="4.950 0.000 0.000 0.000 4.913 0.000 0.000 0.000 4.913" Properties=species:S:1:pos:R:3 pbc="T T T"
Tb 2.475 2.457 2.457
Bi 2.475 0.000 0.000
Sm 0.000 0.000 2.457
Sm 0.000 2.457 0.000
```

## Properties
- total magnetic moment (μB/cell) = 0.00
- density of states at the Fermi level (states/eV per cell) = 4.3
- volume (Å³ per cell) = 119.5

***

Arrangement b

The following is a PBE-GGA calculation of TbSm2Bi after structural relaxation, from the Alexandria database.

```
4
Lattice="4.109 0.000 0.000 2.054 3.558 0.000 2.054 1.186 9.647" Properties=species:S:1:pos:R:3 pbc="T T T"
Tb 4.109 2.372 4.821
Sm 2.054 1.186 7.599
Sm 2.054 1.186 2.045
Bi 4.109 2.372 0.005
```

## Properties
- total magnetic moment (μB/cell) = 0.82
- density of states at the Fermi level (states/eV per cell) = 4.7
- volume (Å³ per cell) = 141.0

***

Arrangement c

The following is a PBE-GGA calculation of TbSm2Bi after structural relaxation, from the Alexandria database.

```
8
Lattice="4.665 0.000 -0.020 0.000 4.646 0.000 -2.283 0.000 11.659" Properties=species:S:1:pos:R:3 pbc="T T T"
Tb 2.352 3.485 4.472
Tb 0.030 1.162 7.167
Sm 2.341 1.162 1.488
Sm 0.041 3.485 10.150
Sm 0.007 3.485 1.404
Sm 2.375 1.162 10.235
Bi 0.018 1.162 3.993
Bi 2.364 3.485 7.646
```

## Properties
- total magnetic moment (μB/cell) = 0.00
- density of states at the Fermi level (states/eV per cell) = 8.7
- volume (Å³ per cell) = 252.5

***

Which is most stable, and by how much? arrangement c, by 0.026 eV/atom.

***

Arrangement a

The following is a PBE-GGA calculation of TbSm2Bi after structural relaxation, from the Alexandria database.

```
4
Lattice="-4.053 -0.176 -0.335 -1.702 -2.157 -3.003 -2.051 -8.694 4.650" Properties=species:S:1:pos:R:3 pbc="T T T"
Tb -3.903 -5.514 0.656
Bi 0.000 0.000 0.000
Sm -1.947 -2.453 0.107
Sm -5.860 -8.574 1.205
```

## Properties
- total magnetic moment (μB/cell) = 0.04
- density of states at the Fermi level (states/eV per cell) = 6.3
- volume (Å³ per cell) = 140.5

***

Arrangement b

The following is a PBE-GGA calculation of TbSm2Bi after structural relaxation, from the Alexandria database.

```
4
Lattice="4.277 0.000 0.000 0.000 4.277 0.000 0.000 0.000 6.855" Properties=species:S:1:pos:R:3 pbc="T T T"
Tb 2.139 2.139 0.000
Bi 2.139 2.139 3.428
Sm 0.000 0.000 5.051
Sm 0.000 0.000 1.805
```

## Properties
- total magnetic moment (μB/cell) = 0.00
- density of states at the Fermi level (states/eV per cell) = 4.5
- volume (Å³ per cell) = 125.4

***

Which is most stable, and by how much? arrangement b, by 0.223 eV/atom.

***

Arrangement a

The following is a PBE-GGA calculation of TbSm3Bi4 after structural relaxation, from the Alexandria database.

```
8
Lattice="6.420 0.000 0.000 0.000 6.420 0.000 0.000 0.000 6.420" Properties=species:S:1:pos:R:3 pbc="T T T"
Tb 0.000 0.000 0.000
Bi 3.210 0.000 0.000
Bi 0.000 3.210 0.000
Bi 0.000 0.000 3.210
Bi 3.210 3.210 3.210
Sm 0.000 3.210 3.210
Sm 3.210 0.000 3.210
Sm 3.210 3.210 0.000
```

## Properties
- total magnetic moment (μB/cell) = 0.00
- density of states at the Fermi level (states/eV per cell) = 0.4
- volume (Å³ per cell) = 264.6

***

Arrangement b

The following is a PBE-GGA calculation of TbSm3Bi4 after structural relaxation, from the Alexandria database.

```
8
Lattice="-3.592 0.784 -2.672 -0.423 -7.673 -1.682 -4.385 1.540 6.347" Properties=species:S:1:pos:R:3 pbc="T T T"
Tb -1.796 0.392 -1.336
Sm -2.193 0.770 3.173
Sm -4.200 -2.674 0.996
Sm -0.212 -3.836 -0.841
Bi -1.188 -1.515 1.152
Bi -3.204 -4.991 -1.023
Bi -3.620 -4.617 3.512
Bi -5.196 -0.357 3.015
```

## Properties
- total magnetic moment (μB/cell) = 0.00
- density of states at the Fermi level (states/eV per cell) = 1.2
- volume (Å³ per cell) = 265.1

***

Which is most stable, and by how much? arrangement a, by 0.005 eV/atom.

***

Arrangement a

The following is a PBE-GGA calculation of TbSm3Bi2 after structural relaxation, from the Alexandria database.

```
6
Lattice="4.611 0.000 0.000 0.000 4.611 0.000 0.000 0.000 8.845" Properties=species:S:1:pos:R:3 pbc="T T T"
Tb 2.305 2.305 0.000
Sm 2.305 0.000 3.099
Sm 0.000 2.305 5.746
Sm 0.000 0.000 0.000
Bi 2.305 0.000 6.365
Bi 0.000 2.305 2.481
```

## Properties
- total magnetic moment (μB/cell) = 0.00
- density of states at the Fermi level (states/eV per cell) = 5.0
- volume (Å³ per cell) = 188.0

***

Arrangement b

The following is a PBE-GGA calculation of TbSm3Bi2 after structural relaxation, from the Alexandria database.

```
12
Lattice="4.403 0.000 0.000 -2.201 10.498 -0.789 0.000 -5.347 8.688" Properties=species:S:1:pos:R:3 pbc="T T T"
Tb 2.201 3.429 7.124
Tb 0.000 1.722 0.775
Sm 0.000 3.791 3.995
Sm 2.201 6.341 4.169
Sm 2.201 -1.314 6.847
Sm 0.000 6.465 1.052
Sm 0.000 -1.190 3.730
Sm 2.201 1.360 3.904
Bi 0.000 5.916 6.434
Bi 2.201 -0.765 1.465
Bi 2.201 4.041 1.511
Bi 0.000 1.109 6.388
```

## Properties
- total magnetic moment (μB/cell) = 0.48
- density of states at the Fermi level (states/eV per cell) = 14.6
- volume (Å³ per cell) = 383.0

***

Which is most stable, and by how much? arrangement a, by 0.122 eV/atom.

***

Arrangement a

The following is a PBE-GGA calculation of Tb3SmBi2 after structural relaxation, from the Alexandria database.

```
12
Lattice="4.386 0.000 0.000 -2.193 10.545 -0.641 0.000 -5.342 8.456" Properties=species:S:1:pos:R:3 pbc="T T T"
Tb 0.000 3.827 3.951
Tb 2.193 6.364 4.146
Tb 2.193 -1.324 6.630
Tb 0.000 6.527 1.185
Tb 0.000 -1.161 3.669
Tb 2.193 1.375 3.864
Sm 2.193 3.437 7.056
Sm 0.000 1.766 0.759
Bi 0.000 5.945 6.338
Bi 2.193 -0.742 1.477
Bi 2.193 4.131 1.514
Bi 0.000 1.072 6.301
```

## Properties
- total magnetic moment (μB/cell) = 0.48
- density of states at the Fermi level (states/eV per cell) = 13.9
- volume (Å³ per cell) = 376.1

***

Arrangement b

The following is a PBE-GGA calculation of Tb3SmBi2 after structural relaxation, from the Alexandria database.

```
6
Lattice="4.581 0.000 0.000 0.000 4.581 0.000 0.000 0.000 8.725" Properties=species:S:1:pos:R:3 pbc="T T T"
Tb 2.291 0.000 3.036
Tb 0.000 2.291 5.688
Tb 0.000 0.000 0.000
Sm 2.291 2.291 0.000
Bi 2.291 0.000 6.237
Bi 0.000 2.291 2.488
```

## Properties
- total magnetic moment (μB/cell) = 0.00
- density of states at the Fermi level (states/eV per cell) = 4.9
- volume (Å³ per cell) = 183.1

***

Which is most stable, and by how much? arrangement b, by 0.095 eV/atom.

***

Arrangement a

The following is a PBE-GGA calculation of Sm3BiTe after structural relaxation, from the Alexandria database.

```
10
Lattice="4.372 0.000 0.000 -2.187 8.846 0.065 0.003 -3.345 10.119" Properties=species:S:1:pos:R:3 pbc="T T T"
Sm 0.001 1.393 5.778
Sm 2.187 2.448 0.559
Sm 0.001 -0.367 1.724
Sm 2.186 4.108 4.406
Sm 2.186 5.868 8.460
Sm 0.001 3.053 9.625
Bi 0.000 4.544 6.602
Bi 2.187 0.956 3.582
Te 0.004 0.121 8.552
Te 2.183 5.379 1.631
```

## Properties
- total magnetic moment (μB/cell) = 0.00
- density of states at the Fermi level (states/eV per cell) = 7.3
- volume (Å³ per cell) = 392.3

***

Arrangement b

The following is a PBE-GGA calculation of Sm3BiTe after structural relaxation, from the Alexandria database.

```
20
Lattice="-1.161 1.238 -4.145 6.296 -4.561 -3.126 -10.271 -13.403 -1.128" Properties=species:S:1:pos:R:3 pbc="T T T"
Sm -3.762 -8.854 -2.802
Sm 2.043 -5.892 -5.962
Sm -6.817 -13.388 -5.720
Sm -7.017 -7.260 -3.834
Sm -1.373 -7.872 -5.597
Sm 1.881 -9.466 -4.565
Sm -4.511 -16.220 -4.792
Sm -1.598 -4.256 -4.454
Sm -3.537 -12.470 -3.945
Sm -7.179 -10.834 -2.436
Sm -0.625 -0.506 -3.606
Sm 1.681 -3.338 -2.678
Bi -3.493 -13.858 -6.792
Bi -1.643 -2.868 -1.607
Bi -5.603 -10.223 -5.115
Bi 0.467 -6.503 -3.284
Te -8.357 -13.650 -2.948
Te -1.099 -10.567 -4.059
Te -4.037 -6.159 -4.339
Te 3.221 -3.076 -5.451
```

## Properties
- total magnetic moment (μB/cell) = 0.00
- density of states at the Fermi level (states/eV per cell) = 16.9
- volume (Å³ per cell) = 635.1

***

Which is most stable, and by how much? arrangement b, by 0.292 eV/atom.